A plane-wave DFT calculation with GGA-PBEsol was carried out for an optimized crystal structure of InTe2IBr.

a = 5.6356 Å, b = 5.6356 Å, c = 5.6391 Å
α = 90.00°, β = 90.00°, γ = 90.00°
Closest atoms and distances in Å follow each position.
Space group P4/mmm (No. 123)
Inequivalent atoms, fractional coordinates:
In (0.0000, 0.0000, 0.0000)  4 Te 2.82, 2 I 2.82
Te (0.0000, 0.5000, 0.0000)  2 In 2.82
I (0.0000, 0.0000, 0.5000)  2 In 2.82
Br (0.5000, 0.5000, 0.5000)  4 I 3.98, 8 Te 3.99

Results
- DOS(E_F) (states/eV/atom) = 1.411
- DFT total energy (eV/atom) = -2.358

=====

A plane-wave DFT calculation with GGA-PBEsol was carried out for an optimized crystal structure of IrSe2IBr.

a = 4.8554 Å, b = 4.8554 Å, c = 5.0817 Å
α = 90.00°, β = 90.00°, γ = 90.00°
Closest atoms and distances in Å follow each position.
Space group P4/mmm (No. 123)
Inequivalent atoms, fractional coordinates:
Ir (0.0000, 0.0000, 0.0000)  4 Se 2.43, 2 Br 2.54
Se (0.0000, 0.5000, 0.0000)  2 Ir 2.43
I (0.5000, 0.5000, 0.5000)  4 Br 3.43, 8 Se 3.51
Br (0.0000, 0.0000, 0.5000)  2 Ir 2.54

Results
- excess energy over the best structure of this formula in the dataset (kcal/mol of atoms) = 0.00
- DOS(E_F) (states/eV/atom) = 0.967
- DFT total energy (eV/atom) = -3.878

=====

A plane-wave DFT calculation with GGA-PBEsol was carried out for an optimized crystal structure of K3I2Br.

a = 4.8256 Å, b = 4.8256 Å, c = 11.9427 Å
α = 90.00°, β = 90.00°, γ = 120.00°
Closest atoms and distances in Å follow each position.
Space group P-3m1 (No. 164)
Inequivalent atoms, fractional coordinates:
K (0.0000, 0.0000, 0.0000)  6 I 3.48
K (0.3333, 0.6667, 0.6514)  3 Br 3.32, 3 I 3.48
I (0.3333, 0.6667, 0.1739)  6 K 3.48
Br (0.0000, 0.0000, 0.5000)  6 K 3.32

Results
- DOS(E_F) (states/eV/atom) = 0.000
- DFT total energy (eV/atom) = -3.011

=====

A plane-wave DFT calculation with GGA-PBEsol was carried out for an optimized crystal structure of K2IBr.

a = 8.1789 Å, b = 8.1789 Å, c = 8.1789 Å
α = 90.00°, β = 90.00°, γ = 90.00°
Closest atoms and distances in Å follow each position.
Space group Fm-3m (No. 225)
Inequivalent atoms, fractional coordinates:
K (0.2500, 0.2500, 0.2500)  4 Br 3.54, 4 I 3.54
I (0.0000, 0.0000, 0.0000)  8 K 3.54
Br (0.0000, 0.0000, 0.5000)  8 K 3.54

Results
- excess energy over the best structure of this formula in the dataset (kcal/mol of atoms) = 0.00
- DOS(E_F) (states/eV/atom) = 0.000
- DFT total energy (eV/atom) = -3.009

=====

A plane-wave DFT calculation with GGA-PBEsol was carried out for an optimized crystal structure of K2IBr.

a = 8.6275 Å, b = 8.6275 Å, c = 9.4357 Å
α = 90.00°, β = 90.00°, γ = 90.00°
Closest atoms and distances in Å follow each position.
Space group I-42d (No. 122)
Inequivalent atoms, fractional coordinates:
K (0.2273, 0.2500, 0.1250)  2 Br 3.14, 2 I 3.40
I (0.0000, 0.0000, 0.5000)  4 K 3.40
Br (0.0000, 0.0000, 0.0000)  4 K 3.14

Results
- excess energy over the best structure of this formula in the dataset (kcal/mol of atoms) = 0.86
- DOS(E_F) (states/eV/atom) = 0.000
- DFT total energy (eV/atom) = -2.971

=====

A plane-wave DFT calculation with GGA-PBEsol was carried out for an optimized crystal structure of KI2BrO.

a = 6.0152 Å, b = 6.0152 Å, c = 4.0220 Å
α = 90.00°, β = 90.00°, γ = 90.00°
Closest atoms and distances in Å follow each position.
Space group P4/mmm (No. 123)
Inequivalent atoms, fractional coordinates:
K (0.0000, 0.0000, 0.0000)  8 I 3.62, 2 K 4.02
I (0.0000, 0.5000, 0.5000)  2 Br 3.01
Br (0.5000, 0.5000, 0.5000)  2 O 2.01
O (0.5000, 0.5000, 0.0000)  2 Br 2.01

Results
- excess energy over the best structure of this formula in the dataset (kcal/mol of atoms) = 0.00
- DOS(E_F) (states/eV/atom) = 0.582
- DFT total energy (eV/atom) = -2.588

=====

A plane-wave DFT calculation with GGA-PBEsol was carried out for an optimized crystal structure of KI2BrO.

a = 6.4258 Å, b = 6.4258 Å, c = 4.7488 Å
α = 90.00°, β = 90.00°, γ = 90.00°
Closest atoms and distances in Å follow each position.
Space group P4/mmm (No. 123)
Inequivalent atoms, fractional coordinates:
K (0.0000, 0.0000, 0.0000)  2 O 2.37
I (0.0000, 0.5000, 0.0000)  2 K 3.21
Br (0.5000, 0.5000, 0.5000)  8 I 4.00
O (0.0000, 0.0000, 0.5000)  2 K 2.37

Results
- excess energy over the best structure of this formula in the dataset (kcal/mol of atoms) = 15.66
- DOS(E_F) (states/eV/atom) = 1.393
- DFT total energy (eV/atom) = -1.909

=====

A plane-wave DFT calculation with GGA-PBEsol was carried out for an optimized crystal structure of KIBrO2.

a = 4.2847 Å, b = 4.2847 Å, c = 5.7748 Å
α = 90.00°, β = 90.00°, γ = 90.00°
Closest atoms and distances in Å follow each position.
Space group P4/mmm (No. 123)
Inequivalent atoms, fractional coordinates:
K (0.0000, 0.0000, 0.0000)  4 I 3.03
I (0.5000, 0.5000, 0.0000)  2 Br 2.89, 4 K 3.03
Br (0.5000, 0.5000, 0.5000)  4 O 2.14
O (0.0000, 0.5000, 0.5000)  2 Br 2.14

Results
- DOS(E_F) (states/eV/atom) = 0.477
- DFT total energy (eV/atom) = -2.952

=====

A plane-wave DFT calculation with GGA-PBEsol was carried out for an optimized crystal structure of LaSe2IBr.

a = 5.8384 Å, b = 5.8384 Å, c = 5.6279 Å
α = 90.00°, β = 90.00°, γ = 90.00°
Closest atoms and distances in Å follow each position.
Space group P4/mmm (No. 123)
Inequivalent atoms, fractional coordinates:
La (0.0000, 0.0000, 0.0000)  2 Br 2.81, 4 Se 2.92
Se (0.0000, 0.5000, 0.0000)  2 La 2.92
I (0.5000, 0.5000, 0.5000)  8 Se 4.05, 4 Br 4.13
Br (0.0000, 0.0000, 0.5000)  2 La 2.81

Results
- DOS(E_F) (states/eV/atom) = 1.623
- DFT total energy (eV/atom) = -3.810

=====

A plane-wave DFT calculation with GGA-PBEsol was carried out for an optimized crystal structure of LiIBr2.

a = 4.1657 Å, b = 4.1657 Å, c = 24.1587 Å
α = 90.00°, β = 90.00°, γ = 120.00°
Closest atoms and distances in Å follow each position.
Space group R-3m (No. 166, hexagonal axes)
Inequivalent atoms, fractional coordinates:
Li (0.0000, 0.0000, 0.0000)  6 Br 2.74
I (0.0000, 0.0000, 0.5000)  2 Br 2.71
Br (0.0000, 0.0000, 0.3880)  1 I 2.71, 3 Li 2.74

Results
- excess energy over the best structure of this formula in the dataset (kcal/mol of atoms) = 0.00
- DFT total energy (eV/atom) = -2.623

=====

A plane-wave DFT calculation with GGA-PBEsol was carried out for an optimized crystal structure of Li2IBr2.

a = 9.3589 Å, b = 9.3589 Å, c = 3.2891 Å
α = 90.00°, β = 90.00°, γ = 90.00°
Closest atoms and distances in Å follow each position.
Space group P4/mbm (No. 127)
Inequivalent atoms, fractional coordinates:
Li (0.0990, 0.4010, 0.0000)  1 Li 2.62, 4 Br 2.68
I (0.0000, 0.0000, 0.5000)  2 I 3.29
Br (0.1254, 0.6254, 0.5000)  4 Li 2.68

Results
- excess energy over the best structure of this formula in the dataset (kcal/mol of atoms) = 2.80
- DOS(E_F) (states/eV/atom) = 0.703
- DFT total energy (eV/atom) = -2.743

=====

A plane-wave DFT calculation with GGA-PBEsol was carried out for an optimized crystal structure of Li3IBr.

a = 5.0282 Å, b = 5.0282 Å, c = 5.0282 Å
α = 90.00°, β = 90.00°, γ = 90.00°
Closest atoms and distances in Å follow each position.
Space group Pm-3m (No. 221)
Inequivalent atoms, fractional coordinates:
Li (0.0000, 0.0000, 0.5000)  2 Br 2.51
I (0.5000, 0.5000, 0.5000)  12 Li 3.56
Br (0.0000, 0.0000, 0.0000)  6 Li 2.51

Results
- DOS(E_F) (states/eV/atom) = 0.404
- DFT total energy (eV/atom) = -2.690

=====

Number 1: calculated volume 35.820 Å³/atom. Number 2: calculated volume 23.960 Å³/atom. Number 3: calculated volume 40.140 Å³/atom. Number 4: calculated volume 34.195 Å³/atom. Number 5: calculated volume 43.896 Å³/atom. Number 6: calculated volume 29.106 Å³/atom. Number 7: calculated volume 39.217 Å³/atom. Number 8: calculated volume 21.204 Å³/atom. Number 9: calculated volume 38.368 Å³/atom. Number 10: calculated volume 30.256 Å³/atom. Number 11: calculated volume 28.809 Å³/atom. Number 12: calculated volume 25.425 Å³/atom.